[1]
{
  "formula": "NiRu2Cl",
  "functional": "PBE-GGA",
  "state": "optimized geometry",
  "lattice_angstrom": [[-6.790, -1.754, 4.222], [-4.843, -2.160, 6.236], [-5.832, 0.443, 5.728]],
  "species": ["Cl", "Ni", "Ru", "Ru"],
  "frac_coords": [[0.495, 0.495, 0.495], [0.753, 0.753, 0.753], [0.001, 0.001, 0.001], [0.251, 0.251, 0.251]],
  "total_energy_ev_per_cell": -24.78,
  "raw_formation_energy_ev_per_fu": 1.4,
  "sg": "No. 160"
}


[2]
{
  "formula": "NiRu2Cl2",
  "functional": "PBE-GGA",
  "state": "optimized geometry",
  "lattice_angstrom": [[-1.846, 0.797, 6.954], [-2.951, -6.610, -0.026], [2.521, -1.129, 0.799]],
  "species": ["Ru", "Ru", "Ru", "Ru", "Cl", "Cl", "Cl", "Cl", "Ni", "Ni"],
  "frac_coords": [[0.180, 0.680, 0.500], [0.680, 0.820, 0.500], [0.820, 0.320, 0.500], [0.320, 0.180, 0.500], [0.362, 0.862, 0.000], [0.862, 0.638, 0.000], [0.638, 0.138, 0.000], [0.138, 0.362, 0.000], [0.000, 0.000, 0.000], [0.500, 0.500, 0.000]],
  "total_energy_ev_per_cell": -45.89,
  "raw_formation_energy_ev_per_fu": 5.1,
  "sg": "No. 127"
}


[3]
{
  "formula": "NiRu2Cl",
  "functional": "PBE-GGA",
  "state": "optimized geometry",
  "lattice_angstrom": [[-1.492, 1.895, 1.439], [-1.069, -2.531, -0.580], [3.179, -3.008, 7.259]],
  "species": ["Cl", "Ni", "Ru", "Ru"],
  "frac_coords": [[0.500, 0.500, 0.250], [0.500, 0.500, 0.750], [0.000, 0.000, 0.997], [0.000, 0.000, 0.503]],
  "total_energy_ev_per_cell": -23.39,
  "raw_formation_energy_ev_per_fu": 2.8,
  "sg": "No. 65"
}


[4]
{
  "formula": "NiRuCl",
  "functional": "PBE-GGA",
  "state": "optimized geometry",
  "lattice_angstrom": [[4.171, 0.000, 0.000], [2.086, 3.612, 0.000], [2.086, 1.204, 3.406]],
  "species": ["Cl", "Ni", "Ru"],
  "frac_coords": [[0.500, 0.500, 0.500], [0.750, 0.750, 0.750], [0.000, 0.000, 0.000]],
  "total_energy_ev_per_cell": -13.88,
  "raw_formation_energy_ev_per_fu": 3.0,
  "sg": "No. 216"
}


[5]
{
  "formula": "Ni4RuCl",
  "functional": "PBE-GGA",
  "state": "optimized geometry",
  "lattice_angstrom": [[0.000, 3.398, 3.398], [3.398, 0.000, 3.398], [3.398, 3.398, 0.000]],
  "species": ["Ni", "Ni", "Ni", "Ni", "Ru", "Cl"],
  "frac_coords": [[0.873, 0.376, 0.376], [0.376, 0.376, 0.873], [0.376, 0.873, 0.376], [0.376, 0.376, 0.376], [0.750, 0.750, 0.750], [0.000, 0.000, 0.000]],
  "total_energy_ev_per_cell": -30.61,
  "raw_formation_energy_ev_per_fu": 3.6,
  "sg": "No. 216"
}


[6]
{
  "formula": "NiRuCl2",
  "functional": "PBE-GGA",
  "state": "optimized geometry",
  "lattice_angstrom": [[3.592, 0.000, 0.000], [0.000, 4.493, -0.030], [0.000, 2.321, 4.186]],
  "species": ["Ru", "Cl", "Cl", "Ni"],
  "frac_coords": [[0.500, 0.721, 0.744], [0.000, 0.964, 0.919], [0.500, 0.304, 0.294], [0.000, 0.511, 0.543]],
  "total_energy_ev_per_cell": -17.66,
  "raw_formation_energy_ev_per_fu": 1.1,
  "sg": "No. 6"
}


[7]
{
  "formula": "NiRuCl2",
  "functional": "PBE-GGA",
  "state": "optimized geometry",
  "lattice_angstrom": [[3.557, 0.000, 0.000], [0.000, 3.294, -0.766], [0.000, -1.868, 6.075]],
  "species": ["Ru", "Cl", "Cl", "Ni"],
  "frac_coords": [[0.500, 0.750, 0.750], [0.000, 0.759, 0.002], [0.000, 0.741, 0.498], [0.500, 0.250, 0.250]],
  "total_energy_ev_per_cell": -17.02,
  "raw_formation_energy_ev_per_fu": 1.7,
  "sg": "No. 10"
}


[8]
{
  "formula": "NiRuCl2",
  "functional": "PBE-GGA",
  "state": "optimized geometry",
  "lattice_angstrom": [[-2.377, 1.171, 4.787], [3.009, -3.864, 2.439], [3.791, 1.940, 4.534]],
  "species": ["Ru", "Ru", "Cl", "Cl", "Cl", "Cl", "Ni", "Ni"],
  "frac_coords": [[0.000, 0.000, 0.000], [0.750, 0.250, 0.500], [0.607, 0.125, 0.250], [0.143, 0.625, 0.250], [0.375, 0.393, 0.750], [0.875, 0.857, 0.750], [0.500, 0.500, 0.000], [0.250, 0.750, 0.500]],
  "total_energy_ev_per_cell": -33.82,
  "raw_formation_energy_ev_per_fu": 1.8,
  "sg": "No. 122"
}


[9]
{
  "formula": "NiRuCl2",
  "functional": "PBE-GGA",
  "state": "optimized geometry",
  "lattice_angstrom": [[3.255, 0.380, 0.000], [-1.437, 2.946, 0.000], [0.000, 0.000, 7.896]],
  "species": ["Ru", "Cl", "Cl", "Ni"],
  "frac_coords": [[0.500, 0.500, 0.700], [0.000, 0.000, 0.913], [0.500, 0.500, 0.361], [0.000, 0.000, 0.526]],
  "total_energy_ev_per_cell": -17.92,
  "raw_formation_energy_ev_per_fu": 0.8,
  "sg": "No. 35"
}


[10]
{
  "formula": "NiRuCl",
  "functional": "PBE-GGA",
  "state": "optimized geometry",
  "lattice_angstrom": [[6.560, 0.005, -0.003], [5.553, 2.765, -0.003], [1.007, -1.280, 2.445]],
  "species": ["Cl", "Ni", "Ru"],
  "frac_coords": [[0.993, 0.993, 0.007], [0.335, 0.335, 0.665], [0.673, 0.673, 0.327]],
  "total_energy_ev_per_cell": -15.26,
  "raw_formation_energy_ev_per_fu": 1.6,
  "sg": "No. 42"
}


[11]
{
  "formula": "NiRuCl2",
  "functional": "PBE-GGA",
  "state": "optimized geometry",
  "lattice_angstrom": [[7.902, 0.152, -0.088], [6.542, 4.436, 0.088], [-7.162, -2.484, 2.240]],
  "species": ["Ru", "Cl", "Cl", "Ni"],
  "frac_coords": [[0.307, 0.807, 0.500], [0.005, 0.005, 0.000], [0.745, 0.245, 0.500], [0.443, 0.443, 0.000]],
  "total_energy_ev_per_cell": -17.37,
  "raw_formation_energy_ev_per_fu": 1.4,
  "sg": "No. 44"
}


[12]
{
  "formula": "NiRuCl2",
  "functional": "PBE-GGA",
  "state": "optimized geometry",
  "lattice_angstrom": [[-4.336, 2.458, -0.381], [-1.575, -1.769, -4.403], [0.929, -1.099, 4.788]],
  "species": ["Ru", "Cl", "Cl", "Ni"],
  "frac_coords": [[0.250, 0.750, 0.500], [0.995, 0.995, 0.000], [0.505, 0.505, 0.000], [0.750, 0.250, 0.500]],
  "total_energy_ev_per_cell": -16.73,
  "raw_formation_energy_ev_per_fu": 2.0,
  "sg": "No. 71"
}


[13]
{
  "formula": "NiRuCl2",
  "functional": "PBE-GGA",
  "state": "optimized geometry",
  "lattice_angstrom": [[3.183, 0.012, 0.000], [-1.821, 2.611, 0.000], [0.000, 0.000, 7.613]],
  "species": ["Ru", "Cl", "Cl", "Ni"],
  "frac_coords": [[0.500, 0.500, 0.750], [0.000, 0.000, 0.010], [0.000, 0.000, 0.490], [0.500, 0.500, 0.250]],
  "total_energy_ev_per_cell": -16.86,
  "raw_formation_energy_ev_per_fu": 1.9,
  "sg": "No. 65"
}


[14]
{
  "formula": "NiRuCl",
  "functional": "PBE-GGA",
  "state": "optimized geometry",
  "lattice_angstrom": [[4.086, 0.000, 0.000], [2.043, 3.538, 0.000], [2.043, 1.179, 3.336]],
  "species": ["Cl", "Ni", "Ru"],
  "frac_coords": [[0.000, 0.000, 0.000], [0.500, 0.500, 0.500], [0.750, 0.750, 0.750]],
  "total_energy_ev_per_cell": -14.56,
  "raw_formation_energy_ev_per_fu": 2.3,
  "sg": "No. 216"
}


[15]
{
  "formula": "NiRu2Cl",
  "functional": "PBE-GGA",
  "state": "optimized geometry",
  "lattice_angstrom": [[-2.479, 0.162, -1.589], [-1.017, -2.434, 1.339], [-2.866, 3.876, 4.864]],
  "species": ["Cl", "Ni", "Ru", "Ru"],
  "frac_coords": [[0.500, 0.250, 0.250], [0.500, 0.750, 0.750], [0.000, 0.250, 0.948], [0.000, 0.250, 0.552]],
  "total_energy_ev_per_cell": -24.42,
  "raw_formation_energy_ev_per_fu": 1.8,
  "sg": "No. 47"
}


[16]
{
  "formula": "NiRuCl2",
  "functional": "PBE-GGA",
  "state": "optimized geometry",
  "lattice_angstrom": [[-3.526, -1.080, -2.689], [0.686, -2.451, -3.789], [-1.462, -4.318, -0.221]],
  "species": ["Ru", "Cl", "Cl", "Ni"],
  "frac_coords": [[0.250, 0.250, 0.250], [0.000, 0.000, 0.000], [0.750, 0.750, 0.750], [0.500, 0.500, 0.500]],
  "total_energy_ev_per_cell": -15.21,
  "raw_formation_energy_ev_per_fu": 3.5,
  "sg": "No. 216"
}


[17]
{
  "formula": "NiRu2Cl",
  "functional": "PBE-GGA",
  "state": "optimized geometry",
  "lattice_angstrom": [[4.290, 0.000, -0.114], [3.398, 2.619, -0.114], [0.336, 0.114, 6.424]],
  "species": ["Cl", "Ni", "Ru", "Ru"],
  "frac_coords": [[0.312, 0.312, 0.513], [0.329, 0.329, 0.172], [0.059, 0.059, 0.989], [0.800, 0.800, 0.826]],
  "total_energy_ev_per_cell": -24.27,
  "raw_formation_energy_ev_per_fu": 1.9,
  "sg": "No. 8"
}


[18]
{
  "formula": "NiRu2Cl",
  "functional": "PBE-GGA",
  "state": "optimized geometry",
  "lattice_angstrom": [[-0.796, -3.488, -3.730], [1.570, -4.877, 0.681], [-2.972, 3.932, 1.555]],
  "species": ["Cl", "Ni", "Ru", "Ru"],
  "frac_coords": [[0.508, 0.508, 0.000], [0.265, 0.765, 0.500], [0.989, 0.989, 0.000], [0.739, 0.239, 0.500]],
  "total_energy_ev_per_cell": -23.36,
  "raw_formation_energy_ev_per_fu": 2.8,
  "sg": "No. 44"
}


[19]
{
  "formula": "NiRuCl2",
  "functional": "PBE-GGA",
  "state": "optimized geometry",
  "lattice_angstrom": [[-0.276, 2.728, -1.629], [-1.992, 1.125, 2.222], [5.859, 2.864, 3.802]],
  "species": ["Ru", "Cl", "Cl", "Ni"],
  "frac_coords": [[0.500, 0.500, 0.694], [0.000, 0.000, 0.913], [0.500, 0.500, 0.364], [0.000, 0.000, 0.528]],
  "total_energy_ev_per_cell": -17.84,
  "raw_formation_energy_ev_per_fu": 0.9,
  "sg": "No. 99"
}


[20]
{
  "formula": "NiRu2Cl",
  "functional": "PBE-GGA",
  "state": "optimized geometry",
  "lattice_angstrom": [[4.176, -0.007, 1.048], [3.236, 2.640, 1.048], [2.142, 0.761, 7.069]],
  "species": ["Cl", "Ni", "Ru", "Ru"],
  "frac_coords": [[0.750, 0.750, 0.750], [0.250, 0.250, 0.250], [0.047, 0.047, 0.088], [0.453, 0.453, 0.412]],
  "total_energy_ev_per_cell": -24.07,
  "raw_formation_energy_ev_per_fu": 2.1,
  "sg": "No. 12"
}


[21]
{
  "formula": "NiRuCl2",
  "functional": "PBE-GGA",
  "state": "optimized geometry",
  "lattice_angstrom": [[0.771, -1.051, 4.145], [-3.213, -1.549, 2.482], [0.013, -4.171, 1.218]],
  "species": ["Ru", "Cl", "Cl", "Ni"],
  "frac_coords": [[0.500, 0.500, 0.500], [0.250, 0.250, 0.250], [0.750, 0.750, 0.750], [0.000, 0.000, 0.000]],
  "total_energy_ev_per_cell": -15.89,
  "raw_formation_energy_ev_per_fu": 2.9,
  "sg": "No. 225"
}


[22]
{
  "formula": "NiRu2Cl",
  "functional": "PBE-GGA",
  "state": "optimized geometry",
  "lattice_angstrom": [[-1.479, 0.028, 3.019], [1.160, -2.532, 0.592], [5.170, 2.957, 2.505]],
  "species": ["Cl", "Ni", "Ru", "Ru"],
  "frac_coords": [[0.000, 0.500, 0.512], [0.500, 0.500, 0.787], [0.000, 0.000, 0.004], [0.500, 0.500, 0.197]],
  "total_energy_ev_per_cell": -24.64,
  "raw_formation_energy_ev_per_fu": 1.5,
  "sg": "No. 25"
}


[23]
{
  "formula": "NiRuCl2",
  "functional": "PBE-GGA",
  "state": "optimized geometry",
  "lattice_angstrom": [[6.120, 0.773, -0.835], [4.969, 3.654, -0.835], [1.266, 0.505, 4.315]],
  "species": ["Ru", "Cl", "Cl", "Ni"],
  "frac_coords": [[0.250, 0.250, 0.250], [0.111, 0.111, 0.945], [0.389, 0.389, 0.555], [0.750, 0.750, 0.750]],
  "total_energy_ev_per_cell": -17.81,
  "raw_formation_energy_ev_per_fu": 0.9,
  "sg": "No. 12"
}


[24]
{
  "formula": "NiRuCl2",
  "functional": "PBE-GGA",
  "state": "optimized geometry",
  "lattice_angstrom": [[7.005, 0.217, 0.069], [6.287, 3.097, 0.069], [-0.085, -0.021, 4.006]],
  "species": ["Ru", "Cl", "Cl", "Ni"],
  "frac_coords": [[0.219, 0.219, 0.247], [0.961, 0.961, 0.256], [0.744, 0.744, 0.749], [0.576, 0.576, 0.248]],
  "total_energy_ev_per_cell": -17.53,
  "raw_formation_energy_ev_per_fu": 1.2,
  "sg": "No. 8"
}


[25]
{
  "formula": "NiRu2Cl2",
  "functional": "PBE-GGA",
  "state": "optimized geometry",
  "lattice_angstrom": [[4.792, 0.000, 0.000], [0.000, 4.792, 0.000], [2.396, 2.396, 3.415]],
  "species": ["Ru", "Ru", "Cl", "Cl", "Ni"],
  "frac_coords": [[0.750, 0.250, 0.500], [0.250, 0.750, 0.500], [0.305, 0.305, 0.390], [0.695, 0.695, 0.610], [0.000, 0.000, 0.000]],
  "total_energy_ev_per_cell": -23.55,
  "raw_formation_energy_ev_per_fu": 4.5,
  "sg": "No. 139"
}


[26]
{
  "formula": "NiRu2Cl",
  "functional": "PBE-GGA",
  "state": "optimized geometry",
  "lattice_angstrom": [[4.427, -0.027, 0.000], [0.686, 4.373, 0.000], [-2.556, -2.173, 2.888]],
  "species": ["Cl", "Ni", "Ru", "Ru"],
  "frac_coords": [[0.500, 0.500, 0.000], [0.750, 0.250, 0.500], [0.000, 0.000, 0.000], [0.250, 0.750, 0.500]],
  "total_energy_ev_per_cell": -22.69,
  "raw_formation_energy_ev_per_fu": 3.5,
  "sg": "No. 119"
}


[27]
{
  "formula": "NiRu4Cl",
  "functional": "PBE-GGA",
  "state": "optimized geometry",
  "lattice_angstrom": [[0.000, 3.623, 3.623], [3.623, 0.000, 3.623], [3.623, 3.623, 0.000]],
  "species": ["Ni", "Ru", "Ru", "Ru", "Ru", "Cl"],
  "frac_coords": [[0.000, 0.000, 0.000], [0.874, 0.375, 0.375], [0.375, 0.375, 0.874], [0.375, 0.874, 0.375], [0.375, 0.375, 0.375], [0.750, 0.750, 0.750]],
  "total_energy_ev_per_cell": -37.84,
  "raw_formation_energy_ev_per_fu": 6.9,
  "sg": "No. 216"
}


[28]
{
  "formula": "NiRu3Cl",
  "functional": "PBE-GGA",
  "state": "optimized geometry",
  "lattice_angstrom": [[-1.270, 3.774, -2.302], [-4.172, -0.230, 1.924], [1.463, 2.619, 3.487]],
  "species": ["Ru", "Ru", "Ru", "Cl", "Ni"],
  "frac_coords": [[0.000, 0.500, 0.000], [0.000, 0.000, 0.500], [0.500, 0.000, 0.000], [0.500, 0.500, 0.500], [0.000, 0.000, 0.000]],
  "total_energy_ev_per_cell": -27.21,
  "raw_formation_energy_ev_per_fu": 8.2,
  "sg": "No. 221"
}


[29]
{
  "formula": "NiRuCl2",
  "functional": "PBE-GGA",
  "state": "optimized geometry",
  "lattice_angstrom": [[-4.012, -0.661, -1.561], [-0.621, -3.170, 2.925], [-1.116, 2.061, 1.997]],
  "species": ["Ru", "Cl", "Cl", "Ni"],
  "frac_coords": [[0.000, 0.500, 0.500], [0.000, 0.000, 0.000], [0.500, 0.500, 0.000], [0.500, 0.000, 0.500]],
  "total_energy_ev_per_cell": -15.97,
  "raw_formation_energy_ev_per_fu": 2.8,
  "sg": "No. 123"
}


[30]
{
  "formula": "NiRuSCl2",
  "functional": "PBE-GGA",
  "state": "optimized geometry",
  "lattice_angstrom": [[4.964, 0.000, 0.000], [0.000, 4.964, 0.000], [0.000, 0.000, 4.357]],
  "species": ["Ru", "S", "Cl", "Cl", "Ni"],
  "frac_coords": [[0.000, 0.000, 0.000], [0.000, 0.000, 0.500], [0.000, 0.500, 0.000], [0.500, 0.000, 0.000], [0.500, 0.500, 0.500]],
  "total_energy_ev_per_cell": -20.29,
  "raw_formation_energy_ev_per_fu": 2.6,
  "sg": "No. 123"
}